(1)
Nd12Tm3Cd: relaxed, PBE-GGA.

Lattice parameters (Å, degrees): 5.0867 5.0867 20.5330 90.00 90.00 90.00
Last column: nearest neighbours and their distance in Å.
Atoms (fractional coordinates):
Nd (0.5000, 0.0000, 0.8777)  8 Nd 3.57-3.61, 2 Cd 3.57, 2 Tm 3.62
Nd (0.0000, 0.5000, 0.6261)  8 Nd 3.60-3.64, 4 Tm 3.63
Nd (0.0000, 0.5000, 0.1223)  2 Cd 3.57, 8 Nd 3.57-3.61, 2 Tm 3.62
Nd (0.5000, 0.0000, 0.3739)  8 Nd 3.60-3.64, 4 Tm 3.63
Nd (0.5000, 0.0000, 0.1223)  8 Nd 3.57-3.61, 2 Cd 3.57, 2 Tm 3.62
Nd (0.0000, 0.5000, 0.8777)  2 Cd 3.57, 8 Nd 3.57-3.61, 2 Tm 3.62
Nd (0.0000, 0.5000, 0.3739)  8 Nd 3.60-3.64, 4 Tm 3.63
Nd (0.5000, 0.5000, 0.2468)  4 Tm 3.60, 8 Nd 3.61-3.64
Nd (0.5000, 0.5000, 0.5000)  4 Tm 3.60, 8 Nd 3.63
Nd (0.5000, 0.5000, 0.7532)  4 Tm 3.60, 8 Nd 3.61-3.64
Nd (0.5000, 0.5000, 0.0000)  8 Nd 3.57, 4 Cd 3.60
Nd (0.5000, 0.0000, 0.6261)  8 Nd 3.60-3.64, 4 Tm 3.63
Cd (0.0000, 0.0000, 0.0000)  12 Nd 3.57-3.60
Tm (0.0000, 0.0000, 0.2480)  12 Nd 3.60-3.63
Tm (0.0000, 0.0000, 0.5000)  12 Nd 3.60-3.63
Tm (0.0000, 0.0000, 0.7520)  12 Nd 3.60-3.63

For the magnetization, the calculation gives 0.000 μB per cell. The density of states at the Fermi level comes out at 22.22 states/eV/f.u. The formation energy comes out at -0.0133 eV per atom. As for the space-group type: P4/mmm.

(2)
Pm3Tl4Rh4: relaxed, PBE-GGA.

Lattice parameters (Å, degrees): 3.8748 8.1716 9.1142 116.63 102.27 90.00
Last column: nearest neighbours and their distance in Å.
Atoms (fractional coordinates):
Tl (0.3338, 0.1394, 0.6675)  4 Rh 2.77-2.89
Tl (0.6662, 0.4718, 0.3325)  4 Rh 2.77-2.89
Tl (0.6662, 0.8606, 0.3325)  4 Rh 2.77-2.89
Tl (0.3338, 0.5282, 0.6675)  4 Rh 2.77-2.89
Rh (0.5000, 0.2002, 0.0000)  2 Tl 2.77, 4 Pm 3.09
Rh (0.7579, 0.2579, 0.5157)  6 Tl 2.78-2.89, 2 Pm 3.02
Rh (0.5000, 0.7998, 0.0000)  2 Tl 2.77, 4 Pm 3.09
Rh (0.2421, 0.7421, 0.4843)  6 Tl 2.78-2.89, 2 Pm 3.02
Pm (0.0000, 0.5000, 0.0000)  4 Rh 3.12
Pm (0.8882, 0.8882, 0.7765)  6 Rh 3.02-3.09, 4 Tl 3.28
Pm (0.1118, 0.1118, 0.2235)  6 Rh 3.02-3.09, 4 Tl 3.28

For the magnetization, the calculation gives 0.000 μB per cell. The density of states at the Fermi level comes out at 7.58 states/eV/f.u. The formation energy comes out at -0.3788 eV per atom. As for the space-group type: Immm.

(3)
BeNi2Pt: relaxed, PBE-GGA.

Lattice parameters (Å, degrees): 2.7181 2.7181 6.1021 90.00 90.00 90.00
Last column: nearest neighbours and their distance in Å.
Atoms (fractional coordinates):
Ni (0.5000, 0.5000, 0.2269)  8 Ni 2.47-2.72, 4 Pt 2.68
Ni (0.0000, 0.0000, 0.9734)  4 Be 2.30, 4 Ni 2.47
Be (0.5000, 0.5000, 0.7675)  4 Ni 2.30, 4 Pt 2.40
Pt (0.0000, 0.0000, 0.5322)  4 Be 2.40, 4 Ni 2.68

For the magnetization, the calculation gives 0.628 μB per cell. The density of states at the Fermi level comes out at 6.55 states/eV/f.u. The formation energy comes out at -0.2994 eV per atom. As for the space-group type: P4mm.